1.
DFT (PBE) results for LiTaO3 after structural relaxation.

Geometry as POSCAR:
```
LiTaO3
1.0
-3.6893 1.4569 -3.1696
3.1684 -1.9229 -3.4704
-2.4836 -5.0883 0.5519
Ta Li O
2 2 6
Cartesian
-5.0180 -2.6225 -2.7792
2.0135 -2.9318 -3.3090
-0.2604 -0.2330 -3.3200
-1.5022 -2.7771 -3.0441
-0.0986 -0.0882 -1.2572
-0.4223 -0.3777 -5.3829
-1.3404 -2.6324 -0.9812
-3.4000 -3.4199 -2.8501
0.3956 -2.1344 -3.2381
-1.6641 -2.9219 -5.1070
```

Values from the calculation:
VASP energy = -8.29 eV/atom
Uncorrected formation energy = -2.560 eV/atom
Spin magnetization = 0.0 μB per cell


2.
DFT (PBE) results for PbC after structural relaxation.

Geometry as POSCAR:
```
PbC
1.0
-7.1536 -6.6128 2.9731
3.4521 -6.9993 -7.2617
4.7706 -2.8891 5.0526
Pb C
16 16
Cartesian
-1.8411 -10.4467 1.3693
1.4515 -6.6802 3.2165
0.7922 -8.7353 -2.9407
-2.1084 -6.3214 1.1783
-0.3992 -13.4862 1.0722
-0.6496 -5.6957 -2.6435
2.9103 -6.0545 -0.6054
3.8537 -4.4596 2.2181
0.0096 -3.6406 3.5137
-1.2011 -1.1103 0.4992
2.0030 -11.2656 0.0738
-5.9525 -5.5025 2.4739
-4.5106 -8.5420 2.1767
-2.3926 -5.8613 4.5120
3.1945 -6.5146 -3.9391
-3.0518 -7.9164 -1.6451
-2.7740 -8.5175 0.5510
1.4578 -6.5392 -2.3134
4.6469 -6.0300 -2.2311
2.5289 -8.7108 -4.5664
0.2664 -11.2901 1.6995
3.5759 -3.8584 0.0220
3.1881 -6.6557 1.5908
1.7251 -10.6645 -2.1224
2.1171 -4.4841 3.8438
0.5355 -1.0858 -1.1265
2.9166 -5.9135 -6.1352
1.3374 -13.4617 -0.5535
-3.8450 -6.3459 2.8040
-0.6559 -5.8368 2.8863
-2.3862 -5.7202 -1.0178
-1.3152 -7.8918 -3.2709
```

Values from the calculation:
Relative energy among the computed polymorphs = 1.77 eV/f.u.
VASP energy = -4.73 eV/atom
Spin magnetization = 0.0 μB per cell
Energy relative to the elements = 40.0 kcal/mol of atoms


3.
DFT (PBE) results for Tb3Ho7Tl2 after structural relaxation.

Geometry as POSCAR:
```
Tb3Ho7Tl2
1.0
-2.7482 -1.1481 2.0157
3.5063 -3.2609 2.9232
2.2313 14.3253 11.2017
Ho Tl Tb
7 2 3
Cartesian
3.3858 8.6102 12.7288
0.7388 6.3370 7.8250
2.2507 3.5793 8.3156
2.6760 -0.0561 3.6165
-0.3964 1.3061 3.4118
3.0616 11.1205 10.5083
0.0000 0.0000 0.0000
1.7553 1.3059 6.3453
1.2341 8.6104 9.7952
0.3791 -2.2045 2.4694
4.1303 6.5399 9.3562
1.6074 4.5246 4.7686
```

Values from the calculation:
VASP energy = -4.24 eV/atom
Spin magnetization = 0.0 μB per cell
Energy relative to the elements = -0.5 kcal/mol of atoms


4.
DFT (PBE) results for Ta6TiTl2O18 after structural relaxation.

Geometry as POSCAR:
```
Ta6TiTl2O18
1.0
7.6118 0.0071 -0.0102
3.8001 6.5954 -0.0102
0.0114 0.0066 8.3448
Ta O Tl Ti
6 18 2 1
Cartesian
7.5984 2.2390 1.2634
3.7973 4.4167 7.0608
9.4892 5.5220 1.2589
5.7017 5.5185 1.2635
1.9064 1.1349 7.0655
5.6950 1.1378 7.0609
3.7898 4.7454 0.8344
6.2232 0.8310 5.3122
5.1270 2.9972 6.9892
1.6105 0.9623 0.8402
7.6071 1.9091 7.4904
10.0218 5.8282 3.0063
7.5954 5.9595 1.3330
7.6011 1.6282 3.0121
2.4711 2.9948 6.9913
3.8011 0.6950 6.9915
5.9766 0.9658 0.8340
9.7864 5.6925 7.4842
1.3755 0.8258 5.3180
8.9263 3.6601 1.3328
3.7962 5.0267 5.3117
5.1734 5.8235 3.0126
5.4205 5.6889 7.4900
6.2695 3.6582 1.3352
3.7889 2.2387 2.4856
7.5940 4.4401 5.8387
7.6041 0.0335 4.1622
```

Values from the calculation:
VASP energy = -9.07 eV/atom
Uncorrected formation energy = -2.666 eV/atom
Spin magnetization = 0.0 μB per cell


5.
DFT (PBE) results for Ce2Cu5Pt5 after structural relaxation.

Geometry as POSCAR:
```
Ce2Cu5Pt5
1.0
4.3851 0.0000 0.0000
0.0000 5.1090 0.0000
0.0000 0.0000 9.0892
Cu Pt Ce
5 5 2
Cartesian
2.1925 1.2808 6.7574
2.1925 3.8282 2.3318
2.1925 3.8282 6.7574
2.1925 2.5545 4.5446
2.1925 1.2808 2.3318
0.0000 2.5545 3.0522
0.0000 0.0000 7.4844
0.0000 2.5545 6.0371
2.1925 0.0000 0.0000
0.0000 0.0000 1.6048
0.0000 0.0000 4.5446
0.0000 2.5545 0.0000
```

Values from the calculation:
VASP energy = -5.80 eV/atom
Spin magnetization = 0.9 μB per cell
Energy relative to the elements = -13.5 kcal/mol of atoms


6.
DFT (PBE) results for Ba2TlHgSe4 after structural relaxation.

Geometry as POSCAR:
```
Ba2TlHgSe4
1.0
-6.8500 2.5650 5.3161
-4.4110 -6.1591 -4.9366
7.4593 -2.9674 4.2994
Ba Se Tl Hg
4 8 2 2
Cartesian
-5.6305 -1.7970 0.1897
-4.1063 -6.3602 -0.1289
-3.4250 1.2825 2.6581
-3.1203 1.0813 7.4657
-4.5797 -4.2116 2.2698
4.7205 -3.6839 4.4817
-8.5220 -2.8777 0.1970
0.7781 -2.3500 2.4089
-0.8938 -5.4156 -0.1810
0.8252 -2.6415 6.9956
-2.9077 -1.1460 4.8597
-4.6268 -3.9200 -2.3168
-1.9008 -3.2807 2.3395
3.0483 -9.1264 -0.6372
1.5241 -4.5631 -0.3185
-2.2055 -3.0794 -2.4681
```

Values from the calculation:
VASP energy = -3.56 eV/atom
Uncorrected formation energy = -1.007 eV/atom
Spin magnetization = 0.0 μB per cell